{
  "formula": "CaFeClO2",
  "functional": "GGA+U",
  "state": "relaxed",
  "final_energy_ev_per_fu": -28.3,
  "m_tot_mub_per_cell": 0.87,
  "de_polymorph_kj_per_mol_atoms": 30.5,
  "lattice": [[3.805, -0.061, 0.116], [0.059, 3.483, -0.070], [2.235, 0.395, 12.232]],
  "species": ["O", "Cl", "Cl", "Ca", "Fe", "O", "Ca", "O", "Fe", "O"],
  "frac_coords": [[0.101, 0.808, 0.865], [0.745, 0.678, 0.652], [0.329, 0.695, 0.256], [0.614, 0.202, 0.846], [0.995, 0.702, 0.020], [0.703, 0.187, 0.418], [0.350, 0.683, 0.480], [0.941, 0.198, 0.098], [0.836, 0.194, 0.259], [0.514, 0.666, 0.992]]
}